## Ca6Ge2O (PBEsol)

Data for crystalline Ca6Ge2O at its relaxed geometry.

Values from the calculation:
**N(E_F)**: 2.1 states/eV/f.u.
**Formation energy from raw total energies**: -1.0333 eV/atom
**Space group**: No. 225
**Electronic total energy**: -37.226 eV for the cell shown

a b c (Å): 6.718 6.718 6.718
angles (deg): 60.00 60.00 60.00
Atoms (fractional coordinates):
Ca 0.754 0.754 0.246
O 0.000 0.000 0.000
Ca 0.246 0.754 0.246
Ca 0.246 0.246 0.754
Ca 0.754 0.246 0.246
Ge 0.250 0.250 0.250
Ca 0.754 0.246 0.754
Ca 0.246 0.754 0.754
Ge 0.750 0.750 0.750